First-principles (PBE-GGA) data for an optimized crystal structure of CsZr2NbPd, as listed in Alexandria.

Cell lengths 5.1773, 5.1773, 5.3919 Å; angles 90.00, 90.00, 90.00 degrees
Last column: nearest neighbours and their distance in Å.
Space group P4/mmm (No. 123)
One atom of each set of equivalent atoms:
Cs 0.0000 0.0000 0.0000 [1 per cell]  4 Pd 3.66, 8 Zr 3.74
Zr 0.0000 0.5000 0.5000 [2 per cell]  2 Nb 2.59
Nb 0.5000 0.5000 0.5000 [1 per cell]  4 Zr 2.59, 2 Pd 2.70
Pd 0.5000 0.5000 0.0000 [1 per cell]  2 Nb 2.70

Output
Formation energy from the elements   446.0 kJ/mol of formula units
Calculated total energy   -5.72 eV/atom